1.
DFT (PBE) results for an optimized crystal structure of PaZnSnAu.

Cell and atoms, written as POSCAR:
```
PaZnSnAu
1.0
-2.3479 -2.5630 3.5229
2.5662 -2.0113 3.7232
-0.3953 1.8628 4.5680
Sn Au Zn Pa
1 1 1 1
direct
0.5000 0.5000 0.5000
0.2500 0.2500 0.2500
0.7500 0.7500 0.7500
0.0000 0.0000 0.0000
```

=====

2.
DFT (PBE) results for an optimized crystal structure of ZrPaSnAu.

Cell and atoms, written as POSCAR:
```
ZrPaSnAu
1.0
5.1150 0.0000 0.0000
2.5575 4.4297 0.0000
2.5575 1.4766 4.1764
Pa Zr Au Sn
1 1 1 1
direct
0.5000 0.5000 0.5000
0.0000 0.0000 0.0000
0.7500 0.7500 0.7500
0.2500 0.2500 0.2500
```

=====

no.,total moment (μB per formula unit),DFT total energy (eV per atom),formation enthalpy at 0 K (meV per atom)
1,0.00,-4.73,-217.7
2,2.75,-6.55,-214.3